A:
Material: ZnHg2F
Method: DFT, GGA-PBE
State: relaxed

mass density = 10.5 g cm⁻³
space group = No. 225
density of states at the Fermi level = 0.8 states/eV/cell

Cell: 4.769 4.769 4.769 Å, 60.00 60.00 60.00°
Atoms (fractional coordinates):
F 0.000 0.000 0.000
Hg 0.250 0.250 0.250
Hg 0.750 0.750 0.750
Zn 0.500 0.500 0.500

B:
Material: ZnHg2F
Method: DFT, GGA-PBE
State: relaxed

mass density = 9.9 g cm⁻³
space group = No. 122
density of states at the Fermi level = 1.9 states/eV/cell

Cell: 7.378 7.378 6.009 Å, 52.12 52.12 90.00°
Atoms (fractional coordinates):
Hg 0.616 0.125 0.250
F 0.250 0.750 0.500
Zn 0.750 0.250 0.500
Hg 0.134 0.625 0.250
Hg 0.375 0.384 0.750
Zn 0.000 0.000 0.000
Hg 0.875 0.866 0.750
F 0.500 0.500 0.000

Q: Which of them is the least stable? A: A.

A:
Material: ZnHg3F
Method: DFT, GGA-PBE
State: relaxed

mass density = 8.1 g cm⁻³
space group = No. 221
density of states at the Fermi level = 0.9 states/eV/cell

Cell: 5.206 5.206 5.206 Å, 90.00 90.00 90.00°
Atoms (fractional coordinates):
Hg 0.000 0.500 0.000
Hg 0.000 0.000 0.500
Hg 0.500 0.000 0.000
Zn 0.000 0.000 0.000
F 0.500 0.500 0.500

B:
Material: ZnHg3F
Method: DFT, GGA-PBE
State: relaxed

mass density = 8.2 g cm⁻³
space group = No. 221
density of states at the Fermi level = 3.4 states/eV/cell

Cell: 5.177 5.177 5.177 Å, 90.00 90.00 90.00°
Atoms (fractional coordinates):
Hg 0.000 0.500 0.000
Hg 0.000 0.000 0.500
Zn 0.500 0.500 0.500
Hg 0.500 0.000 0.000
F 0.000 0.000 0.000

Q: Which of them is the least stable? A: B.